Version a
{"formula": "TlIn2Ni", "functional": "GGA-PBE", "state": "relaxed", "lattice": [[8.8152, 0.0000, 0.0000], [0.0000, 8.8152, 0.0000], [0.0000, 0.0000, 5.1435]], "species": ["Tl", "Tl", "Tl", "Tl", "In", "In", "In", "In", "In", "In", "In", "In", "Ni", "Ni", "Ni", "Ni"], "fractional_positions": [[0.0000, 0.0000, 0.0000], [0.0000, 0.5000, 0.2500], [0.5000, 0.0000, 0.7500], [0.5000, 0.5000, 0.5000], [0.1482, 0.2500, 0.6250], [0.2500, 0.6482, 0.8750], [0.2500, 0.8518, 0.3750], [0.3518, 0.2500, 0.1250], [0.6482, 0.7500, 0.1250], [0.7500, 0.1482, 0.3750], [0.7500, 0.3518, 0.8750], [0.8518, 0.7500, 0.6250], [0.0000, 0.0000, 0.5000], [0.0000, 0.5000, 0.7500], [0.5000, 0.0000, 0.2500], [0.5000, 0.5000, 0.0000]], "dos_ef_per_ev_cell": 9.73, "space_group": "No. 122", "magmom_total_mub_per_atom": 0.0000}

Version b
{"formula": "TlIn2Ni", "functional": "GGA-PBE", "state": "relaxed", "lattice": [[3.2060, 0.0000, 0.0000], [0.0000, 3.2060, 0.0000], [0.0000, 0.0000, 8.7693]], "species": ["Tl", "In", "In", "Ni"], "fractional_positions": [[0.0000, 0.0000, 0.0000], [0.0000, 0.0000, 0.6223], [0.5000, 0.5000, 0.3220], [0.5000, 0.5000, 0.7891]], "dos_ef_per_ev_cell": 2.08, "space_group": "No. 99", "magmom_total_mub_per_atom": 0.0000}

Tell me which of them is the least stable. Sure, it is version a.

Version a
{"formula": "TlInNi", "functional": "GGA-PBE", "state": "relaxed", "lattice": [[0.0000, 4.8240, 9.1134], [2.7201, 0.0000, 9.1134], [2.7201, 4.8240, 0.0000]], "species": ["Tl", "Tl", "Tl", "Tl", "In", "In", "In", "In", "Ni", "Ni", "Ni", "Ni"], "fractional_positions": [[0.0378, 0.7122, 0.0378], [0.2878, 0.9622, 0.2878], [0.7122, 0.0378, 0.7122], [0.9622, 0.2878, 0.9622], [0.2892, 0.2892, 0.4608], [0.4608, 0.4608, 0.2892], [0.5392, 0.5392, 0.7108], [0.7108, 0.7108, 0.5392], [0.0026, 0.0026, 0.7474], [0.2526, 0.2526, 0.9974], [0.7474, 0.7474, 0.0026], [0.9974, 0.9974, 0.2526]], "dos_ef_per_ev_cell": 6.55, "space_group": "No. 70", "magmom_total_mub_per_atom": 0.0000}

Version b
{"formula": "TlInNi", "functional": "GGA-PBE", "state": "relaxed", "lattice": [[6.3477, 0.0000, 0.0000], [0.0000, 6.3477, 0.0000], [0.0000, 0.0000, 6.3477]], "species": ["Tl", "Tl", "Tl", "Tl", "In", "In", "In", "In", "Ni", "Ni", "Ni", "Ni"], "fractional_positions": [[0.0000, 0.0000, 0.0000], [0.0000, 0.5000, 0.5000], [0.5000, 0.0000, 0.5000], [0.5000, 0.5000, 0.0000], [0.0000, 0.0000, 0.5000], [0.0000, 0.5000, 0.0000], [0.5000, 0.0000, 0.0000], [0.5000, 0.5000, 0.5000], [0.2500, 0.2500, 0.2500], [0.2500, 0.7500, 0.7500], [0.7500, 0.2500, 0.7500], [0.7500, 0.7500, 0.2500]], "dos_ef_per_ev_cell": 11.35, "space_group": "No. 216", "magmom_total_mub_per_atom": 0.0000}

Version c
{"formula": "TlInNi", "functional": "GGA-PBE", "state": "relaxed", "lattice": [[3.3395, 0.0000, 0.0000], [-1.6697, 2.8921, 0.0000], [0.0000, 0.0000, 6.5526]], "species": ["Tl", "In", "Ni"], "fractional_positions": [[0.0000, 0.0000, 0.0000], [0.6667, 0.3333, 0.4219], [0.3333, 0.6667, 0.6980]], "dos_ef_per_ev_cell": 1.07, "space_group": "No. 156", "magmom_total_mub_per_atom": 0.0000}

Version d
{"formula": "TlInNi", "functional": "GGA-PBE", "state": "relaxed", "lattice": [[3.8660, 0.0000, 0.0000], [-1.9330, 3.3481, 0.0000], [0.0000, 0.0000, 5.3177]], "species": ["Tl", "In", "Ni"], "fractional_positions": [[0.0000, 0.0000, 0.0000], [0.6667, 0.3333, 0.4561], [0.3333, 0.6667, 0.7100]], "dos_ef_per_ev_cell": 1.74, "space_group": "No. 156", "magmom_total_mub_per_atom": 0.0000}

Tell me which of them is the least stable. Sure, it is version d.

Version a
{"formula": "Tl3InNi", "functional": "GGA-PBE", "state": "relaxed", "lattice": [[5.7461, 0.0000, 0.0000], [0.0000, 5.7461, 0.0000], [0.0000, 0.0000, 5.7461]], "species": ["Tl", "Tl", "Tl", "In", "Ni"], "fractional_positions": [[0.0000, 0.0000, 0.5000], [0.0000, 0.5000, 0.0000], [0.5000, 0.0000, 0.0000], [0.0000, 0.0000, 0.0000], [0.5000, 0.5000, 0.5000]], "dos_ef_per_ev_cell": 17.09, "space_group": "No. 221", "magmom_total_mub_per_atom": 0.0032}

Version b
{"formula": "Tl3InNi", "functional": "GGA-PBE", "state": "relaxed", "lattice": [[5.1588, 0.0000, 0.0000], [0.0000, 5.1588, 0.0000], [0.0000, 0.0000, 5.1588]], "species": ["Tl", "Tl", "Tl", "In", "Ni"], "fractional_positions": [[0.0000, 0.0000, 0.5000], [0.0000, 0.5000, 0.0000], [0.5000, 0.0000, 0.0000], [0.5000, 0.5000, 0.5000], [0.0000, 0.0000, 0.0000]], "dos_ef_per_ev_cell": 4.33, "space_group": "No. 221", "magmom_total_mub_per_atom": 0.0000}

Tell me which of them is the least stable. Sure, it is version a.

Version a
{"formula": "TmIn3Ni2", "functional": "GGA-PBE", "state": "relaxed", "lattice": [[4.6770, -4.4494, 0.0000], [4.6770, 4.4494, 0.0000], [0.0000, 0.0000, 5.5663]], "species": ["Tm", "Tm", "In", "In", "In", "In", "In", "In", "Ni", "Ni", "Ni", "Ni"], "fractional_positions": [[0.0979, 0.9021, 0.7500], [0.9021, 0.0979, 0.2500], [0.0718, 0.5937, 0.2500], [0.4063, 0.9282, 0.2500], [0.4492, 0.5508, 0.7500], [0.5508, 0.4492, 0.2500], [0.5937, 0.0718, 0.7500], [0.9282, 0.4063, 0.7500], [0.2554, 0.2554, 0.0000], [0.2554, 0.2554, 0.5000], [0.7446, 0.7446, 0.0000], [0.7446, 0.7446, 0.5000]], "dos_ef_per_ev_cell": 5.41, "space_group": "No. 63", "magmom_total_mub_per_atom": 0.0000}

Version b
{"formula": "TmIn3Ni2", "functional": "GGA-PBE", "state": "relaxed", "lattice": [[9.1156, -2.1858, 0.0000], [9.1156, 2.1858, 0.0000], [-5.1031, 0.0000, 8.9783]], "species": ["Tm", "Tm", "Tm", "In", "In", "In", "In", "In", "In", "In", "In", "In", "Ni", "Ni", "Ni", "Ni", "Ni", "Ni"], "fractional_positions": [[0.0000, 0.0000, 0.0000], [0.1707, 0.1707, 0.6752], [0.8293, 0.8293, 0.3248], [0.0177, 0.0177, 0.3184], [0.2079, 0.2079, 0.3899], [0.3215, 0.3215, 0.0692], [0.3718, 0.3718, 0.8360], [0.5000, 0.5000, 0.5000], [0.6282, 0.6282, 0.1640], [0.6785, 0.6785, 0.9308], [0.7921, 0.7921, 0.6101], [0.9823, 0.9823, 0.6816], [0.2013, 0.2013, 0.1301], [0.3772, 0.3772, 0.5679], [0.4800, 0.4800, 0.1539], [0.5200, 0.5200, 0.8461], [0.6228, 0.6228, 0.4321], [0.7987, 0.7987, 0.8699]], "dos_ef_per_ev_cell": 9.02, "space_group": "No. 12", "magmom_total_mub_per_atom": 0.0000}

Tell me which of them is the least stable. Sure, it is version b.

Version a
{"formula": "Tm4InNi", "functional": "GGA-PBE", "state": "relaxed", "lattice": [[7.2077, 0.0000, 0.0000], [0.0000, 6.9878, 0.0000], [-0.4416, 0.0000, 6.7131]], "species": ["Tm", "Tm", "Tm", "Tm", "Tm", "Tm", "Tm", "Tm", "In", "In", "Ni", "Ni"], "fractional_positions": [[0.1375, 0.1672, 0.1816], [0.1375, 0.3328, 0.6816], [0.3131, 0.6387, 0.1040], [0.3131, 0.8613, 0.6040], [0.6869, 0.1387, 0.3960], [0.6869, 0.3613, 0.8960], [0.8625, 0.6672, 0.3184], [0.8625, 0.8328, 0.8184], [0.5000, 0.0000, 0.0000], [0.5000, 0.5000, 0.5000], [0.0000, 0.0000, 0.5000], [0.0000, 0.5000, 0.0000]], "dos_ef_per_ev_cell": 13.71, "space_group": "No. 14", "magmom_total_mub_per_atom": 0.0000}

Version b
{"formula": "Tm4InNi", "functional": "GGA-PBE", "state": "relaxed", "lattice": [[0.0000, 6.6867, 6.6867], [6.6867, 0.0000, 6.6867], [6.6867, 6.6867, 0.0000]], "species": ["Tm", "Tm", "Tm", "Tm", "Tm", "Tm", "Tm", "Tm", "Tm", "Tm", "Tm", "Tm", "Tm", "Tm", "Tm", "Tm", "In", "In", "In", "In", "Ni", "Ni", "Ni", "Ni"], "fractional_positions": [[0.0440, 0.6520, 0.6520], [0.0624, 0.0624, 0.4376], [0.0624, 0.4376, 0.0624], [0.0624, 0.4376, 0.4376], [0.1874, 0.1874, 0.8126], [0.1874, 0.8126, 0.1874], [0.1874, 0.8126, 0.8126], [0.4376, 0.0624, 0.0624], [0.4376, 0.0624, 0.4376], [0.4376, 0.4376, 0.0624], [0.6520, 0.0440, 0.6520], [0.6520, 0.6520, 0.0440], [0.6520, 0.6520, 0.6520], [0.8126, 0.1874, 0.1874], [0.8126, 0.1874, 0.8126], [0.8126, 0.8126, 0.1874], [0.4169, 0.4169, 0.4169], [0.4169, 0.4169, 0.7494], [0.4169, 0.7494, 0.4169], [0.7494, 0.4169, 0.4169], [0.4276, 0.8575, 0.8575], [0.8575, 0.4276, 0.8575], [0.8575, 0.8575, 0.4276], [0.8575, 0.8575, 0.8575]], "dos_ef_per_ev_cell": 20.24, "space_group": "No. 216", "magmom_total_mub_per_atom": 0.0000}

Tell me which of them is the least stable. Sure, it is version a.

Version a
{"formula": "TmIn2Ni9", "functional": "GGA-PBE", "state": "relaxed", "lattice": [[8.2339, 0.0000, 0.0000], [0.0000, 8.2339, 0.0000], [0.0000, 0.0000, 4.8215]], "species": ["Tm", "Tm", "In", "In", "In", "In", "Ni", "Ni", "Ni", "Ni", "Ni", "Ni", "Ni", "Ni", "Ni", "Ni", "Ni", "Ni", "Ni", "Ni", "Ni", "Ni", "Ni", "Ni"], "fractional_positions": [[0.0000, 0.0000, 0.0000], [0.5000, 0.5000, 0.0000], [0.1249, 0.3751, 0.0000], [0.3751, 0.8751, 0.0000], [0.6249, 0.1249, 0.0000], [0.8751, 0.6249, 0.0000], [0.0000, 0.5000, 0.5000], [0.0633, 0.2051, 0.5000], [0.1767, 0.6767, 0.2485], [0.1767, 0.6767, 0.7515], [0.2051, 0.9367, 0.5000], [0.2949, 0.4367, 0.5000], [0.3233, 0.1767, 0.2485], [0.3233, 0.1767, 0.7515], [0.4367, 0.7051, 0.5000], [0.5000, 0.0000, 0.5000], [0.5633, 0.2949, 0.5000], [0.6767, 0.8233, 0.2485], [0.6767, 0.8233, 0.7515], [0.7051, 0.5633, 0.5000], [0.7949, 0.0633, 0.5000], [0.8233, 0.3233, 0.2485], [0.8233, 0.3233, 0.7515], [0.9367, 0.7949, 0.5000]], "dos_ef_per_ev_cell": 36.65, "space_group": "No. 127", "magmom_total_mub_per_atom": 0.1277}

Version b
{"formula": "TmIn2Ni9", "functional": "GGA-PBE", "state": "relaxed", "lattice": [[2.4466, 1.4125, 7.9056], [-2.4466, 1.4125, 7.9056], [0.0000, -2.8251, 7.9056]], "species": ["Tm", "In", "In", "Ni", "Ni", "Ni", "Ni", "Ni", "Ni", "Ni", "Ni", "Ni"], "fractional_positions": [[0.0000, 0.0000, 0.0000], [0.1398, 0.1398, 0.1398], [0.8602, 0.8602, 0.8602], [0.0806, 0.5848, 0.5848], [0.3338, 0.3338, 0.3338], [0.4152, 0.4152, 0.9194], [0.4152, 0.9194, 0.4152], [0.5000, 0.5000, 0.5000], [0.5848, 0.0806, 0.5848], [0.5848, 0.5848, 0.0806], [0.6662, 0.6662, 0.6662], [0.9194, 0.4152, 0.4152]], "dos_ef_per_ev_cell": 15.40, "space_group": "No. 166", "magmom_total_mub_per_atom": 0.1892}

Tell me which of them is the least stable. Sure, it is version b.

Version a
{"formula": "VIn2Ni", "functional": "GGA-PBE", "state": "relaxed", "lattice": [[2.9883, 0.0000, 0.0000], [-1.4941, 2.5879, 0.0000], [0.0000, 0.0000, 29.0898]], "species": ["V", "V", "V", "In", "In", "In", "In", "In", "In", "Ni", "Ni", "Ni"], "fractional_positions": [[0.0000, 0.0000, 0.0000], [0.3333, 0.6667, 0.6667], [0.6667, 0.3333, 0.3333], [0.0000, 0.0000, 0.0953], [0.0000, 0.0000, 0.9047], [0.3333, 0.6667, 0.5714], [0.3333, 0.6667, 0.7619], [0.6667, 0.3333, 0.2381], [0.6667, 0.3333, 0.4286], [0.0000, 0.0000, 0.5000], [0.3333, 0.6667, 0.1667], [0.6667, 0.3333, 0.8333]], "dos_ef_per_ev_cell": 11.43, "space_group": "No. 166", "magmom_total_mub_per_atom": 0.1985}

Version b
{"formula": "VIn2Ni", "functional": "GGA-PBE", "state": "relaxed", "lattice": [[7.3923, 0.0000, 0.0000], [0.0000, 7.3923, 0.0000], [0.0000, 0.0000, 5.6758]], "species": ["V", "V", "V", "V", "In", "In", "In", "In", "In", "In", "In", "In", "Ni", "Ni", "Ni", "Ni"], "fractional_positions": [[0.0000, 0.0000, 0.0000], [0.0000, 0.5000, 0.2500], [0.5000, 0.0000, 0.7500], [0.5000, 0.5000, 0.5000], [0.2135, 0.2500, 0.6250], [0.2500, 0.7135, 0.8750], [0.2500, 0.7865, 0.3750], [0.2865, 0.2500, 0.1250], [0.7135, 0.7500, 0.1250], [0.7500, 0.2135, 0.3750], [0.7500, 0.2865, 0.8750], [0.7865, 0.7500, 0.6250], [0.0000, 0.0000, 0.5000], [0.0000, 0.5000, 0.7500], [0.5000, 0.0000, 0.2500], [0.5000, 0.5000, 0.0000]], "dos_ef_per_ev_cell": 16.53, "space_group": "No. 122", "magmom_total_mub_per_atom": 0.6880}

Version c
{"formula": "VIn2Ni", "functional": "GGA-PBE", "state": "relaxed", "lattice": [[6.5081, 0.0000, 0.0000], [0.0000, 6.5081, 0.0000], [0.0000, 0.0000, 6.5081]], "species": ["V", "V", "V", "V", "In", "In", "In", "In", "In", "In", "In", "In", "Ni", "Ni", "Ni", "Ni"], "fractional_positions": [[0.0000, 0.0000, 0.0000], [0.0000, 0.5000, 0.5000], [0.5000, 0.0000, 0.5000], [0.5000, 0.5000, 0.0000], [0.2500, 0.2500, 0.2500], [0.2500, 0.2500, 0.7500], [0.2500, 0.7500, 0.2500], [0.2500, 0.7500, 0.7500], [0.7500, 0.2500, 0.2500], [0.7500, 0.2500, 0.7500], [0.7500, 0.7500, 0.2500], [0.7500, 0.7500, 0.7500], [0.0000, 0.0000, 0.5000], [0.0000, 0.5000, 0.0000], [0.5000, 0.0000, 0.0000], [0.5000, 0.5000, 0.5000]], "dos_ef_per_ev_cell": 9.80, "space_group": "No. 225", "magmom_total_mub_per_atom": 0.6912}

Tell me which of them is the least stable. Sure, it is version a.

Version a
{"formula": "InNiW3", "functional": "GGA-PBE", "state": "relaxed", "lattice": [[4.8315, 0.0000, 0.0000], [0.0000, 4.8315, 0.0000], [0.0000, 0.0000, 4.8315]], "species": ["In", "Ni", "W", "W", "W"], "fractional_positions": [[0.0000, 0.0000, 0.0000], [0.5000, 0.5000, 0.5000], [0.0000, 0.0000, 0.5000], [0.0000, 0.5000, 0.0000], [0.5000, 0.0000, 0.0000]], "dos_ef_per_ev_cell": 4.25, "space_group": "No. 221", "magmom_total_mub_per_atom": 0.0000}

Version b
{"formula": "InNiW3", "functional": "GGA-PBE", "state": "relaxed", "lattice": [[4.5234, 0.0000, 0.0000], [0.0000, 4.5234, 0.0000], [0.0000, 0.0000, 4.5234]], "species": ["In", "Ni", "W", "W", "W"], "fractional_positions": [[0.0000, 0.0000, 0.0000], [0.5000, 0.5000, 0.5000], [0.0000, 0.5000, 0.5000], [0.5000, 0.0000, 0.5000], [0.5000, 0.5000, 0.0000]], "dos_ef_per_ev_cell": 4.07, "space_group": "No. 221", "magmom_total_mub_per_atom": 0.0000}

Tell me which of them is the least stable. Sure, it is version a.